(1)
6
Lattice="5.081 0.000 0.000 0.000 1.636 8.059 0.000 -1.636 8.059" Properties=species:S:1:pos:R:3 comment="LaHgB (PBE, optimized geometry)" space_group="Amm2, No. 38" relative_energy_ev_per_fu=0.39 formation_enthalpy_0k_mev_per_atom=-266 pbc="T T T"
La 0.000 0.000 0.000
La 2.540 0.000 4.748
Hg 0.000 0.000 11.049
Hg 2.540 0.000 9.495
B 0.000 0.000 5.791
B 0.000 0.000 13.439



(2)
6
Lattice="4.025 0.000 0.000 -2.012 3.485 0.000 0.000 0.000 10.541" Properties=species:S:1:pos:R:3 comment="LaHgB (PBE, optimized geometry)" space_group="P6_3/mmc, No. 194" relative_energy_ev_per_fu=2.69 formation_enthalpy_0k_mev_per_atom=499 pbc="T T T"
La 0.000 0.000 0.000
La 0.000 0.000 5.270
Hg 0.000 2.324 2.635
Hg 2.012 1.162 7.906
B 0.000 0.000 2.635
B 0.000 0.000 7.906